[1]
# ScHgW3

An optimized crystal structure of ScHgW3 (PBE, Alexandria).

Cell: 4.9371 4.9371 4.9371 Å, 90.00 90.00 90.00°
Fractional positions:
Sc1 0.5000 0.5000 0.5000
Hg1 0.0000 0.0000 0.0000
W1 0.5000 0.0000 0.0000
W2 0.0000 0.0000 0.5000
W3 0.0000 0.5000 0.0000

Total DFT energy (no corrections)   -6.440 eV/atom
E above lowest polymorph   0.260 eV/atom
Energy relative to the elements   2659 meV per atom

=====

[2]
# ScHgW2

An optimized crystal structure of ScHgW2 (PBE, Alexandria).

Cell: 2.8072 2.8072 9.2701 Å, 90.00 90.00 90.00°
Fractional positions:
Sc1 0.5000 0.5000 0.7587
Hg1 0.0000 0.0000 0.4955
W1 0.5000 0.5000 0.2438
W2 0.0000 0.0000 0.0020

Total DFT energy (no corrections)   -7.744 eV/atom
Energy relative to the elements   391 meV per atom

=====

[3]
# ScHgW2

An optimized crystal structure of ScHgW2 (PBE, Alexandria).

Cell: 4.3055 2.9099 6.2270 Å, 71.35 90.00 90.00°
Fractional positions:
W1 0.0000 0.0296 0.0177
W2 0.5000 0.1756 0.2191
Sc1 0.5000 0.8078 0.7599
Hg1 0.0000 0.4870 0.5034

Total DFT energy (no corrections)   -7.850 eV/atom
Energy relative to the elements   284 meV per atom

=====

[4]
# ScHgW2

An optimized crystal structure of ScHgW2 (PBE, Alexandria).

Cell: 3.4320 4.4362 4.7190 Å, 90.00 90.00 90.00°
Fractional positions:
Sc1 0.0000 0.5000 0.5000
W1 0.5000 0.5000 0.0000
W2 0.0000 0.0000 0.0000
Hg1 0.5000 0.0000 0.5000

Total DFT energy (no corrections)   -7.796 eV/atom
Energy relative to the elements   339 meV per atom